First-principles (PBE with a Hubbard U) data for a relaxed structure of BeVNO2, as listed in Alexandria via LeMat-Bulk.

Output
Magnetization = 0.00 μB/cell
Energy = -6.15 eV per atom

Lattice parameters (Å, degrees): 3.625 3.625 4.006 90.00 90.00 90.00
Space group P4/mmm (No. 123)
Inequivalent atoms, fractional coordinates:
1 Be 0.000 0.000 0.000 x1
2 V 0.500 0.500 0.500 x1
3 N 0.500 0.500 0.000 x1
4 O 0.000 0.500 0.500 x2